VASP calculation (GGA+U) on a relaxed ScV2SnO8 crystal.

Properties
Its calculated total energy is -7.42 eV per atom. Its space group is P-3m1. The magnetic moment is 0.00 μB/cell.

a b c (Å): 5.750 5.750 6.188
angles (deg): 90.00 90.00 120.00
Element x y z (fractional)
Sc 0.000 0.000 0.000
V 0.333 0.667 0.305
V 0.667 0.333 0.695
Sn 0.000 0.000 0.500
O 0.159 0.318 0.228
O 0.159 0.841 0.228
O 0.318 0.159 0.772
O 0.333 0.667 0.568
O 0.667 0.333 0.432
O 0.682 0.841 0.228
O 0.841 0.159 0.772
O 0.841 0.682 0.772